Ba3InCo2O6 after structural relaxation, computed with PBE with a Hubbard U.

Values from the calculation:
The value obtained for the final energy is -5.685 eV per atom. The density of states at the Fermi level comes out at 9.64 states/eV per cell. As for the space-group type: P-3m1 (164).

Cell lengths 6.127, 6.127, 6.957 Å; angles 90.00, 90.00, 120.00 degrees
Element x y z (fractional)
Ba: 0.000 0.000 0.000
Ba: 0.667 0.333 0.333
Ba: 0.333 0.667 0.667
O: 0.162 0.838 0.302
O: 0.838 0.162 0.698
O: 0.676 0.838 0.302
O: 0.324 0.162 0.698
O: 0.162 0.324 0.302
O: 0.838 0.676 0.698
Co: 0.333 0.667 0.240
Co: 0.667 0.333 0.760
In: 0.000 0.000 0.500